Entry 1:
## BeCr2Os (PBE-GGA)

Data for a relaxed structure of BeCr2Os.

abc: 4.5272 4.5272 2.6040
angles: 90.00 90.00 116.88
Atoms (fractional coordinates):
Cr  0.0000  0.0000  0.0000
Cr  0.5000  0.5000  0.0000
Os  0.5000  0.0000  0.5000
Be  0.0000  0.5000  0.5000

Formation energy: 0.129 eV per atom
Space-group type: Cmmm

Entry 2:
## PaZn4Fe (PBE-GGA)

Data for a relaxed structure of PaZn4Fe.

abc: 6.4599 5.3804 7.5381
angles: 110.91 123.41 90.00
Atoms (fractional coordinates):
Pa  0.0206  0.1915  0.3830
Pa  0.9794  0.8085  0.6170
Zn  0.6380  0.2807  0.5615
Zn  0.4726  0.3327  0.1657
Zn  0.0000  0.2630  0.0000
Zn  0.5274  0.1670  0.8343
Zn  0.3620  0.7193  0.4385
Zn  0.5274  0.6673  0.8343
Zn  0.0000  0.7370  0.0000
Zn  0.4726  0.8330  0.1657
Fe  0.8728  0.6267  0.2534
Fe  0.1272  0.3733  0.7466

Distance to the lowest polymorph of the same formula: 0.0000 eV per atom
Formation energy: -0.128 eV per atom
Space-group type: C2/m

Entry 3:
## CaNiHg2 (PBE-GGA)

Data for a relaxed structure of CaNiHg2.

abc: 4.1466 5.8780 4.4305
angles: 68.78 87.56 109.68
Atoms (fractional coordinates):
Ni  0.0000  0.5000  0.5000
Ca  0.5000  0.5000  0.0000
Hg  0.0000  0.0000  0.0000
Hg  0.5000  0.0000  0.5000

Formation energy: 0.095 eV per atom
Space-group type: C2/m

Entry 4:
## RbZr3Sn (PBE-GGA)

Data for a relaxed structure of RbZr3Sn.

abc: 5.5454 5.5454 5.5454
angles: 90.00 90.00 90.00
Each line ends with the local moment (μB).
Atoms (fractional coordinates):
Rb  0.5000  0.5000  0.5000  0.03
Sn  0.0000  0.0000  0.0000  0.02
Zr  0.0000  0.5000  0.0000  0.33
Zr  0.0000  0.0000  0.5000  0.47
Zr  0.5000  0.0000  0.0000  0.41

Distance to the lowest polymorph of the same formula: 0.0000 eV per atom
Formation energy: 1.044 eV per atom
Space-group type: Pm-3m

Entry 5:
## TcNi2Te (PBE-GGA)

Data for a relaxed structure of TcNi2Te.

abc: 4.6151 4.6151 4.5068
angles: 80.70 80.70 39.03
Atoms (fractional coordinates):
Ni  0.0089  0.0089  0.9706
Ni  0.4911  0.4911  0.5294
Tc  0.7500  0.7500  0.7500
Te  0.2500  0.2500  0.2500

Formation energy without anion corrections: 0.35 eV/atom
Space-group type: C2/m

Entry 6:
## NdDySBr (PBE-GGA)

Data for a relaxed structure of NdDySBr.

abc: 3.8926 3.8965 7.9836
angles: 90.00 104.01 120.03
Atoms (fractional coordinates):
Nd  0.9354  0.3657  0.3166
Dy  0.3338  0.5648  0.9139
S  0.1260  0.9610  0.1025
Br  0.4828  0.1393  0.6367

Formation energy without anion corrections: -1.52 eV/atom
Space-group type: Cm